The following is a PBE with a Hubbard U calculation of a relaxed structure of KLi2CrO4, from Alexandria.

Lattice parameters (Å, degrees): 5.2431 5.2431 5.2431 118.83 118.83 92.05
With the nearest neighbours (Å) after each atom.
Positions (direct):
K 0.0000 0.0000 0.0000  4 O 2.61
Li 0.2500 0.7500 0.5000  4 O 2.10
Li 0.7500 0.2500 0.5000  4 O 2.10
Cr 0.5000 0.5000 0.0000  4 O 1.73
O 0.1731 0.1731 0.6345  1 Cr 1.73
O 0.4614 0.8269 0.0000  1 Cr 1.73
O 0.5386 0.5386 0.3655  1 Cr 1.73
O 0.8269 0.4614 0.0000  1 Cr 1.73

Volume: 13.0 Å³/atom
Total DFT energy (no corrections): -5.788 eV per atom